Record 1
PmSm2HoSe4 after structural relaxation, computed with PBE.

total magnetization = 0.0 Bohr magnetons per cell

Unit cell a=7.1968 b=4.0966 c=7.2475 alpha=90.00 beta=108.82 gamma=90.00
Last column: nearest neighbours and their distance in Å.
Space group P2/m (No. 10)
Symmetry-distinct sites (fractional):
Pm: 0.0000 0.0000 0.0000 (multiplicity 1)  6 Se 2.94-2.95
Sm: 0.5000 0.0000 0.5000 (multiplicity 1)  6 Se 2.93
Sm: 0.5000 0.5000 0.0000 (multiplicity 1)  6 Se 2.98
Ho: 0.0000 0.5000 0.5000 (multiplicity 1)  6 Se 2.89
Se: 0.2430 0.0000 0.7416 (multiplicity 2)  2 Ho 2.89, 3 Sm 2.93-2.98, 1 Pm 2.95
Se: 0.2476 0.5000 0.2554 (multiplicity 2)  1 Ho 2.89, 3 Sm 2.93-2.98, 2 Pm 2.94


Record 2
Pm4Sm3HoSe8 after structural relaxation, computed with PBE.

total magnetization = 0.0 Bohr magnetons per cell

Unit cell a=8.3347 b=8.3347 c=20.4912 alpha=90.00 beta=90.00 gamma=120.00
Last column: nearest neighbours and their distance in Å.
Space group R-3m (No. 166, hexagonal axes)
Symmetry-distinct sites (fractional):
Pm: 0.0000 0.0000 0.0000 (multiplicity 3)  6 Se 3.01
Pm: 0.0000 0.5000 0.0000 (multiplicity 9)  6 Se 2.96
Sm: 0.0000 0.5000 0.5000 (multiplicity 9)  6 Se 2.94
Ho: 0.0000 0.0000 0.5000 (multiplicity 3)  6 Se 2.89
Se: 0.0000 0.0000 0.2492 (multiplicity 6)  3 Sm 2.94, 3 Pm 2.96
Se: 0.0056 0.5028 0.2478 (multiplicity 18)  1 Ho 2.89, 2 Sm 2.94, 3 Pm 2.96-3.01


Record 3
PmHoSnSe after structural relaxation, computed with PBE.

total magnetization = 0.0 Bohr magnetons per cell

Unit cell a=4.3204 b=4.3204 c=6.0430 alpha=90.00 beta=90.00 gamma=90.00
Last column: nearest neighbours and their distance in Å.
Space group P4/mmm (No. 123)
Symmetry-distinct sites (fractional):
Pm: 0.0000 0.0000 0.0000 (multiplicity 1)  2 Se 3.02, 4 Sn 3.06
Ho: 0.5000 0.5000 0.5000 (multiplicity 1)  2 Sn 3.02, 4 Se 3.06
Sn: 0.5000 0.5000 0.0000 (multiplicity 1)  2 Ho 3.02, 4 Pm 3.06
Se: 0.0000 0.0000 0.5000 (multiplicity 1)  2 Pm 3.02, 4 Ho 3.06


Record 4
SrPmHo4Se8 after structural relaxation, computed with PBE.

total magnetization = 0.0 Bohr magnetons per cell

Unit cell a=8.5062 b=8.5062 c=21.0913 alpha=90.00 beta=90.00 gamma=120.00
Last column: nearest neighbours and their distance in Å.
Space group R3m (No. 160, hexagonal axes)
Symmetry-distinct sites (fractional):
Sr: 0.0000 0.0000 0.0000 (multiplicity 3)  4 Se 2.89-2.90
Pm: 0.0000 0.0000 0.3713 (multiplicity 3)  6 Se 2.91-3.02
Ho: 0.0000 0.0000 0.7477 (multiplicity 3)  4 Se 2.75-2.79
Ho: 0.0046 0.5023 0.8739 (multiplicity 9)  6 Se 2.82-2.95
Se: 0.0000 0.0000 0.1376 (multiplicity 3)  3 Ho 2.83, 1 Sr 2.90
Se: 0.0000 0.0000 0.6155 (multiplicity 3)  4 Ho 2.79-2.95
Se: 0.0149 0.5075 0.1280 (multiplicity 9)  3 Ho 2.75-2.94, 1 Pm 3.02
Se: 0.1824 0.3648 0.9491 (multiplicity 9)  2 Ho 2.82, 1 Sr 2.89, 1 Pm 2.91


Number 1: VASP energy -5.882 eV/atom, D(E_F) 0.5885 states/eV per atom. Number 2: VASP energy -5.909 eV/atom, D(E_F) 0.6796 states/eV per atom. Number 3: VASP energy -5.439 eV/atom, D(E_F) 0.1417 states/eV per atom. Number 4: VASP energy -5.545 eV/atom, D(E_F) 0.2953 states/eV per atom.